No. 1
## Sr2NbW (PBE)

Data for a relaxed Sr2NbW crystal.

- Calculated volume: 109.61 Å³ per cell
- Offset from the most stable computed form: 427 meV/atom

Unit cell a=5.3718 b=5.3718 c=5.3718 alpha=60.00 beta=60.00 gamma=60.00
Element x y z (fractional)
W 0.5000 0.5000 0.5000
Nb 0.0000 0.0000 0.0000
Sr 0.2500 0.2500 0.2500
Sr 0.7500 0.7500 0.7500

---

No. 2
## SrNbW2 (PBE)

Data for a relaxed SrNbW2 crystal.

- Calculated volume: 229.49 Å³ per cell
- Offset from the most stable computed form: 309 meV/atom

Unit cell a=5.0221 b=5.0221 c=9.7676 alpha=75.10 beta=75.10 gamma=90.00
Element x y z (fractional)
Nb 0.7500 0.2500 0.5000
Nb 0.0000 0.0000 0.0000
Sr 0.5000 0.5000 0.0000
Sr 0.2500 0.7500 0.5000
W 0.8750 0.1250 0.7500
W 0.3750 0.1250 0.7500
W 0.8750 0.6250 0.2500
W 0.8750 0.1250 0.2500

---

No. 3
## Sr2NbW (PBE)

Data for a relaxed Sr2NbW crystal.

- Calculated volume: 337.70 Å³ per cell
- Offset from the most stable computed form: 0 meV/atom

Unit cell a=11.9562 b=11.9562 c=8.7781 alpha=47.08 beta=47.08 gamma=90.00
Element x y z (fractional)
W 0.7500 0.2500 0.5000
W 0.0000 0.0000 0.0000
Sr 0.9565 0.1250 0.2500
Sr 0.8750 0.2065 0.7500
Sr 0.3750 0.0435 0.7500
Sr 0.7935 0.6250 0.2500
Nb 0.2500 0.7500 0.5000
Nb 0.5000 0.5000 0.0000

---

The evaluated formation enthalpy at 0 K for the records listed, in turn: 1.75, 1.54, 1.32 eV/atom.
The evaluated DOS(E_F) for the records listed, in turn: 3.5352, 1.7178, 1.0032 states/eV per atom.